# 1
Density functional theory data (meta-GGA SCAN) for a PBEsol-optimized structure of CaY5.

Cell lengths 12.983, 3.602, 8.458 Å; angles 90.00, 103.42, 90.00 degrees
Space group Cm (No. 8)
Inequivalent atoms, fractional coordinates:
Ca1 0.000 0.000 0.000 x2
Y1 0.117 0.500 0.714 x2
Y2 0.171 0.500 0.339 x2
Y3 0.274 0.000 0.059 x2
Y4 0.332 0.000 0.661 x2
Y5 0.444 0.500 0.394 x2

Computed properties:
The calculation puts the calculated formation energy at 0.043 eV per atom. The volume comes out at 32.06 Å³/atom. For the energy above the most stable polymorph in this dataset, the calculation gives 0 meV/atom. For the magnetization, the calculation gives 2.81 μB per formula unit.

# 2
Density functional theory data (meta-GGA SCAN) for a PBEsol-optimized structure of CaY2Zn.

Cell lengths 3.574, 3.574, 8.938 Å; angles 90.00, 90.00, 90.00 degrees
Space group P4/mmm (No. 123)
Inequivalent atoms, fractional coordinates:
Ca1 0.000 0.000 0.000 x1
Y1 0.500 0.500 0.314 x2
Zn1 0.000 0.000 0.500 x1

Computed properties:
The calculation puts the calculated formation energy at -0.160 eV per atom. The volume comes out at 28.54 Å³/atom. For the magnetization, the calculation gives 0.01 μB per formula unit.

# 3
Density functional theory data (meta-GGA SCAN) for a PBEsol-optimized structure of CaY2Zn.

Cell lengths 3.668, 5.288, 11.344 Å; angles 90.00, 90.00, 90.00 degrees
Space group Imm2 (No. 44)
Inequivalent atoms, fractional coordinates:
Ca1 0.000 0.000 0.000 x2
Y1 0.000 0.000 0.585 x2
Y2 0.000 0.500 0.792 x2
Zn1 0.000 0.500 0.286 x2

Computed properties:
The calculation puts the calculated formation energy at -0.077 eV per atom. The volume comes out at 27.50 Å³/atom. For the magnetization, the calculation gives 0.15 μB per formula unit.

# 4
Density functional theory data (meta-GGA SCAN) for a PBEsol-optimized structure of CaYZn2.

Cell lengths 6.966, 6.966, 6.966 Å; angles 90.00, 90.00, 90.00 degrees
Space group F-43m (No. 216)
Inequivalent atoms, fractional coordinates:
Ca1 0.000 0.000 0.000 x4
Y1 0.250 0.250 0.750 x4
Zn1 0.000 0.000 0.500 x4
Zn2 0.250 0.250 0.250 x4

Computed properties:
The calculation puts the calculated formation energy at 0.025 eV per atom. The volume comes out at 21.12 Å³/atom. For the magnetization, the calculation gives 0.00 μB per formula unit.

# 5
Density functional theory data (meta-GGA SCAN) for a PBEsol-optimized structure of CaY2Zn.

Cell lengths 4.689, 4.689, 9.659 Å; angles 90.00, 90.00, 90.00 degrees
Space group I-4m2 (No. 119)
Inequivalent atoms, fractional coordinates:
Ca1 0.000 0.000 0.000 x2
Y1 0.000 0.000 0.500 x2
Y2 0.000 0.500 0.250 x2
Zn1 0.000 0.500 0.750 x2

Computed properties:
The calculation puts the calculated formation energy at 0.082 eV per atom. The volume comes out at 26.54 Å³/atom. For the magnetization, the calculation gives 0.00 μB per formula unit.

# 6
Density functional theory data (meta-GGA SCAN) for a PBEsol-optimized structure of CaY2Zn.

Cell lengths 3.521, 3.521, 8.972 Å; angles 90.00, 90.00, 90.00 degrees
Space group P4mm (No. 99)
Inequivalent atoms, fractional coordinates:
Ca1 0.000 0.000 0.000 x1
Y1 0.000 0.000 0.402 x1
Y2 0.500 0.500 0.677 x1
Zn1 0.500 0.500 0.215 x1

Computed properties:
The calculation puts the calculated formation energy at -0.148 eV per atom. The volume comes out at 27.81 Å³/atom. For the magnetization, the calculation gives 1.47 μB per formula unit.

# 7
Density functional theory data (meta-GGA SCAN) for a PBEsol-optimized structure of CaY2Zn.

Cell lengths 6.392, 11.272, 3.385 Å; angles 90.00, 115.74, 90.00 degrees
Space group C2/m (No. 12)
Inequivalent atoms, fractional coordinates:
Ca1 0.000 0.000 0.000 x2
Y1 0.250 0.250 0.500 x4
Zn1 0.000 0.500 0.000 x2

Computed properties:
The calculation puts the calculated formation energy at 0.153 eV per atom. The volume comes out at 27.46 Å³/atom. For the magnetization, the calculation gives 0.00 μB per formula unit.

# 8
Density functional theory data (meta-GGA SCAN) for a PBEsol-optimized structure of CaY2Zn.

Cell lengths 3.6343, 3.6343, 31.0864 Å; angles 90.00, 90.00, 120.00 degrees
Space group R-3m (No. 166, hexagonal axes)
Inequivalent atoms, fractional coordinates:
Ca1 0.0000 0.0000 0.0000 x3
Y1 0.0000 0.0000 0.2331 x6
Zn1 0.0000 0.0000 0.5000 x3

Computed properties:
The calculation puts the calculated formation energy at -0.051 eV per atom. The volume comes out at 29.63 Å³/atom. For the magnetization, the calculation gives 0.63 μB per formula unit.

# 9
Density functional theory data (meta-GGA SCAN) for a PBEsol-optimized structure of CaYZn2.

Cell lengths 7.093, 7.093, 7.093 Å; angles 90.00, 90.00, 90.00 degrees
Space group Fm-3m (No. 225)
Inequivalent atoms, fractional coordinates:
Ca1 0.000 0.000 0.000 x4
Y1 0.000 0.000 0.500 x4
Zn1 0.250 0.250 0.250 x8

Computed properties:
The calculation puts the calculated formation energy at -0.368 eV per atom. The volume comes out at 22.30 Å³/atom. For the magnetization, the calculation gives 0.00 μB per formula unit.

# 10
Density functional theory data (meta-GGA SCAN) for a PBEsol-optimized structure of CaYZn2.

Cell lengths 5.045, 5.045, 3.517 Å; angles 90.00, 90.00, 90.00 degrees
Space group P4/mmm (No. 123)
Inequivalent atoms, fractional coordinates:
Ca1 0.000 0.000 0.000 x1
Y1 0.500 0.500 0.000 x1
Zn1 0.000 0.500 0.500 x2

Computed properties:
The calculation puts the calculated formation energy at -0.381 eV per atom. The volume comes out at 22.38 Å³/atom. For the magnetization, the calculation gives 0.00 μB per formula unit.

# 11
Density functional theory data (meta-GGA SCAN) for a PBEsol-optimized structure of CaY2Zn.

Cell lengths 3.571, 5.375, 11.582 Å; angles 90.00, 90.00, 90.00 degrees
Space group Immm (No. 71)
Inequivalent atoms, fractional coordinates:
Ca1 0.000 0.000 0.000 x2
Y1 0.000 0.500 0.206 x4
Zn1 0.000 0.000 0.500 x2

Computed properties:
The calculation puts the calculated formation energy at -0.125 eV per atom. The volume comes out at 27.79 Å³/atom. For the magnetization, the calculation gives 0.05 μB per formula unit.

# 12
Density functional theory data (meta-GGA SCAN) for a PBEsol-optimized structure of Ca2YZn.

Cell lengths 3.598, 3.598, 9.292 Å; angles 90.00, 90.00, 90.00 degrees
Space group P4mm (No. 99)
Inequivalent atoms, fractional coordinates:
Ca1 0.000 0.000 0.000 x1
Ca2 0.500 0.500 0.329 x1
Y1 0.500 0.500 0.700 x1
Zn1 0.000 0.000 0.530 x1

Computed properties:
The calculation puts the calculated formation energy at -0.160 eV per atom. The volume comes out at 30.07 Å³/atom. For the magnetization, the calculation gives 0.62 μB per formula unit.